VASP calculation (PBE) on crystalline Rb2RuWI6 at its relaxed geometry.

## Properties
formation energy from raw total energies = -2.37 eV/f.u.
total magnetization = 0.588 μB/atom

Lattice parameters (Å, degrees): 8.0942 8.0942 8.0942 120.12 120.12 89.80
Last column: nearest neighbours and their distance in Å.
Fractional coordinates of all 10 atoms:
1 Rb 0.2500 0.7500 0.5000  12 I 4.04-4.05
2 Rb 0.7500 0.2500 0.5000  12 I 4.04-4.05
3 Ru 0.0000 0.0000 0.0000  6 I 2.87-2.89
4 W 0.5000 0.5000 0.0000  6 I 2.84
5 I 0.2514 0.2514 0.5028  1 W 2.84, 1 Ru 2.87
6 I 0.2514 0.7486 0.0000  1 W 2.84, 1 Ru 2.87
7 I 0.2523 0.2523 0.0000  1 W 2.84, 1 Ru 2.89
8 I 0.7477 0.7477 0.0000  1 W 2.84, 1 Ru 2.89
9 I 0.7486 0.2514 0.0000  1 W 2.84, 1 Ru 2.87
10 I 0.7486 0.7486 0.4972  1 W 2.84, 1 Ru 2.87